Entry 1:
DFT (PBE) results for a relaxed ZrReN2F crystal.

Properties
Total DFT energy (no corrections) (eV per formula unit): -37.86
Energy relative to the elements, uncorrected (eV/atom): 0.332
Total magnetic moment (μB per atom): 0.80
Space-group type: No. 123
Distance to the lowest polymorph of the same formula (meV/atom): 561.6

```
ZrReN2F
1.0
-1.109 -3.884 1.481
1.969 0.859 3.728
-3.416 1.529 1.451
Zr F N Re
1 1 2 1
Cartesian
0.000 0.000 0.000
-1.708 0.765 0.726
-0.555 -1.942 0.741
0.984 0.430 1.864
-1.278 -0.748 3.330
```


Entry 2:
DFT (PBE) results for a relaxed Mg3Cd2Ag7 crystal.

Properties
Total DFT energy (no corrections) (eV per formula unit): -28.41
Total magnetic moment (μB per atom): 0.00
Space-group type: No. 12
Distance to the lowest polymorph of the same formula (meV/atom): 0.0
E_form (eV per atom): -0.15

```
Mg3Cd2Ag7
1.0
-4.059 -1.937 1.546
2.084 -4.015 1.471
2.467 7.028 7.394
Ag Mg Cd
7 3 2
Cartesian
-0.798 2.424 8.223
0.000 0.000 0.000
-1.295 1.059 5.224
1.289 -1.348 2.188
-1.794 -0.305 2.226
2.285 1.381 8.185
1.786 0.017 5.186
0.009 -0.246 7.496
0.483 1.322 2.915
-0.988 -2.976 1.508
-0.495 -1.625 4.463
0.986 2.701 5.948
```


Entry 3:
DFT (PBE) results for a relaxed CaUGa5Ir2 crystal.

Properties
Total DFT energy (no corrections) (eV per formula unit): -47.64
Total magnetic moment (μB per atom): 0.32
Space-group type: No. 123
E_form (eV per atom): -0.17

```
CaUGa5Ir2
1.0
4.733 0.000 0.000
0.000 4.733 0.000
0.000 0.000 7.917
U Ga Ir Ca
1 5 2 1
Cartesian
0.000 0.000 0.000
0.000 2.367 2.007
2.367 2.367 3.958
2.367 0.000 2.007
2.367 0.000 5.909
0.000 2.367 5.909
2.367 2.367 6.563
2.367 2.367 1.353
0.000 0.000 3.958
```


Entry 4:
DFT (PBE) results for a relaxed Ac5GaAg2 crystal.

Properties
Total DFT energy (no corrections) (eV per formula unit): -31.03
Total magnetic moment (μB per atom): 0.00
Space-group type: No. 140
E_form (eV per atom): -0.22

```
Ac5GaAg2
1.0
7.308 0.000 -3.450
-1.628 7.124 -3.450
0.355 0.445 10.217
Ga Ac Ag
2 10 4
Cartesian
4.437 5.565 -0.066
1.597 2.003 3.383
3.122 2.439 0.356
2.912 5.130 2.962
1.512 0.420 6.411
0.000 0.000 0.000
1.130 6.001 -0.813
-0.479 3.982 5.242
6.513 3.587 -1.925
4.522 7.149 -3.094
4.904 1.568 4.131
2.840 3.562 -3.450
1.325 6.246 -4.324
5.392 4.440 -5.174
0.288 2.684 -1.725
4.354 0.878 -2.576
```


Entry 5:
DFT (PBE) results for a relaxed CuSbCl crystal.

Properties
Total DFT energy (no corrections) (eV per formula unit): -10.58
Energy relative to the elements, uncorrected (eV/atom): -0.171
Total magnetic moment (μB per atom): 0.00
Space-group type: No. 156
Distance to the lowest polymorph of the same formula (meV/atom): 0.0

```
CuSbCl
1.0
-1.349 3.007 0.922
0.296 -2.519 2.298
6.464 2.361 1.755
Cl Sb Cu
1 1 1
Cartesian
0.758 0.277 0.206
2.923 2.525 2.391
1.731 0.047 2.378
```


Entry 6:
DFT (PBE) results for a relaxed HgSbI2O crystal.

Properties
Total DFT energy (no corrections) (eV per formula unit): -10.79
Energy relative to the elements, uncorrected (eV/atom): 0.339
Total magnetic moment (μB per atom): 0.00
Space-group type: No. 123
Distance to the lowest polymorph of the same formula (meV/atom): 610.6

```
HgSbI2O
1.0
6.073 0.000 0.000
0.000 6.073 0.000
0.000 0.000 4.040
I Sb Hg O
2 1 1 1
Cartesian
3.036 0.000 0.000
0.000 3.036 0.000
3.036 3.036 2.020
0.000 0.000 0.000
0.000 0.000 2.020
```


Entry 7:
DFT (PBE) results for a relaxed Li2Os2C crystal.

Properties
Total DFT energy (no corrections) (eV per formula unit): -27.63
Total magnetic moment (μB per atom): 0.19
Space-group type: No. 139
Distance to the lowest polymorph of the same formula (meV/atom): 427.4
E_form (eV per atom): 1.58

```
Li2Os2C
1.0
3.419 0.000 0.000
0.000 3.419 0.000
1.709 1.709 7.234
Li Os C
2 2 1
Cartesian
1.709 1.709 1.247
3.419 3.419 5.987
1.709 3.419 3.617
3.419 1.709 3.617
0.000 0.000 0.000
```


Entry 8:
DFT (PBE) results for a relaxed K5NaTi6Se27 crystal.

Properties
Total DFT energy (no corrections) (eV per formula unit): -182.42
Energy relative to the elements, uncorrected (eV/atom): -0.876
Total magnetic moment (μB per atom): 0.00
Space-group type: No. 159

```
K5NaTi6Se27
1.0
13.616 0.000 0.000
-6.808 11.792 0.000
0.000 0.000 14.033
Ti Se K Na
12 54 10 2
Cartesian
11.093 4.036 4.832
-2.233 4.203 11.849
4.575 7.589 4.832
11.140 3.927 8.450
-2.051 11.624 11.849
4.332 7.865 1.433
4.645 7.684 8.450
4.639 0.180 8.450
-2.163 4.108 1.433
4.757 0.168 4.832
4.284 7.756 11.849
-2.169 11.612 1.433
2.357 1.255 8.611
3.307 6.062 10.074
3.713 1.390 13.665
2.284 0.856 4.912
10.115 5.730 3.058
-1.191 9.610 7.904
4.818 5.256 11.753
-3.212 5.897 10.074
5.373 6.025 6.669
9.339 4.126 6.669
-0.351 4.435 3.182
-0.401 2.406 11.928
4.017 1.913 10.198
-0.095 11.625 10.074
-3.095 10.402 6.648
-4.524 10.936 11.928
11.733 1.550 4.912
-3.095 10.007 10.203
9.951 2.522 10.198
6.498 7.684 3.187
5.889 5.836 0.887
3.713 1.785 3.187
10.214 2.323 3.187
2.143 6.800 4.737
4.543 10.379 1.594
-1.990 6.536 4.737
11.351 1.413 8.611
2.531 7.666 13.686
6.655 1.544 11.753
-0.919 5.956 7.904
-0.653 3.911 6.648
6.457 7.357 10.198
6.713 0.167 3.058
-1.096 10.151 13.686
6.407 9.386 4.912
5.617 2.182 0.887
-0.311 4.108 10.203
3.143 9.270 3.182
-0.092 2.668 1.594
2.110 8.018 7.904
3.406 9.469 10.203
-1.435 5.767 13.686
8.951 4.991 11.753
-0.153 10.248 4.737
8.918 3.774 0.887
-2.792 9.879 3.182
5.712 1.641 6.669
4.925 10.242 11.928
6.717 9.124 8.611
6.155 7.881 13.665
-4.452 10.537 1.594
3.747 9.271 6.648
3.596 5.895 3.058
10.556 2.521 13.665
8.730 7.433 6.514
6.808 3.931 9.177
0.000 7.861 2.161
2.072 11.277 13.530
1.922 4.359 13.530
2.814 3.844 6.514
-3.994 7.948 13.530
0.000 7.861 11.179
6.808 3.931 4.163
8.880 0.515 6.514
0.000 0.000 10.128
0.000 0.000 3.111
```


Entry 9:
DFT (PBE) results for a relaxed KMgGa2Ge2 crystal.

Properties
Total DFT energy (no corrections) (eV per formula unit): -18.60
Total magnetic moment (μB per atom): 0.00
Space-group type: No. 164
E_form (eV per atom): -0.10

```
KMgGa2Ge2
1.0
-3.436 1.437 -1.983
-0.158 -3.642 2.125
-2.603 4.753 7.954
Ge Ga Mg K
2 2 1 1
Cartesian
-2.079 -0.438 3.285
-4.119 2.986 4.811
-3.176 1.566 6.638
-3.021 0.982 1.458
-1.301 2.377 3.977
0.000 0.000 0.000
```


Entry 10:
DFT (PBE) results for a relaxed MgTcPt2 crystal.

Properties
Total DFT energy (no corrections) (eV per formula unit): -25.09
Total magnetic moment (μB per atom): 0.00
Space-group type: No. 166
E_form (eV per atom): -0.26

```
MgTcPt2
1.0
9.109 0.002 0.001
8.671 2.790 0.001
8.671 1.361 2.435
Mg Pt Tc
1 2 1
Cartesian
19.838 3.115 1.828
13.233 2.078 1.219
26.443 4.152 2.436
6.613 1.038 0.609
```


Entry 11:
DFT (PBE) results for a relaxed La8PdSe3I4 crystal.

Properties
Total DFT energy (no corrections) (eV per formula unit): -82.92
Energy relative to the elements, uncorrected (eV/atom): -1.353
Total magnetic moment (μB per atom): 0.00
Space-group type: No. 166

```
La8PdSe3I4
1.0
8.766 0.000 0.000
0.000 9.147 0.263
-4.383 -4.379 6.201
La Se I Pd
8 3 4 1
Cartesian
2.175 2.545 0.237
2.208 2.222 6.227
0.000 0.356 3.349
0.000 4.428 3.104
6.591 2.545 0.237
4.383 0.340 3.361
-2.208 2.222 6.227
4.383 4.412 3.115
-2.192 2.384 3.232
2.192 2.384 3.232
4.383 4.574 0.132
4.383 0.000 0.000
0.000 0.000 0.000
2.192 -2.190 3.101
-2.192 -2.190 3.101
0.000 4.574 0.132
```


Entry 12:
DFT (PBE) results for a relaxed Ac4CuAg2 crystal.

Properties
Total DFT energy (no corrections) (eV per formula unit): -26.74
Total magnetic moment (μB per atom): 0.00
Space-group type: No. 65
Distance to the lowest polymorph of the same formula (meV/atom): 0.0
E_form (eV per atom): -0.07

```
Ac4CuAg2
1.0
5.517 0.000 0.000
0.000 6.387 -2.155
0.000 -0.047 6.741
Cu Ac Ag
1 4 2
Cartesian
2.758 3.170 2.293
0.000 1.641 1.187
2.758 -0.024 3.370
2.758 3.194 -1.078
0.000 4.699 3.398
0.000 1.515 4.581
0.000 4.825 0.004
```


Please write out number 8 again, unchanged.
DFT (PBE) results for a relaxed K5NaTi6Se27 crystal.

Properties
Total DFT energy (no corrections) (eV per formula unit): -182.42
Energy relative to the elements, uncorrected (eV/atom): -0.876
Total magnetic moment (μB per atom): 0.00
Space-group type: No. 159

```
K5NaTi6Se27
1.0
13.616 0.000 0.000
-6.808 11.792 0.000
0.000 0.000 14.033
Ti Se K Na
12 54 10 2
Cartesian
11.093 4.036 4.832
-2.233 4.203 11.849
4.575 7.589 4.832
11.140 3.927 8.450
-2.051 11.624 11.849
4.332 7.865 1.433
4.645 7.684 8.450
4.639 0.180 8.450
-2.163 4.108 1.433
4.757 0.168 4.832
4.284 7.756 11.849
-2.169 11.612 1.433
2.357 1.255 8.611
3.307 6.062 10.074
3.713 1.390 13.665
2.284 0.856 4.912
10.115 5.730 3.058
-1.191 9.610 7.904
4.818 5.256 11.753
-3.212 5.897 10.074
5.373 6.025 6.669
9.339 4.126 6.669
-0.351 4.435 3.182
-0.401 2.406 11.928
4.017 1.913 10.198
-0.095 11.625 10.074
-3.095 10.402 6.648
-4.524 10.936 11.928
11.733 1.550 4.912
-3.095 10.007 10.203
9.951 2.522 10.198
6.498 7.684 3.187
5.889 5.836 0.887
3.713 1.785 3.187
10.214 2.323 3.187
2.143 6.800 4.737
4.543 10.379 1.594
-1.990 6.536 4.737
11.351 1.413 8.611
2.531 7.666 13.686
6.655 1.544 11.753
-0.919 5.956 7.904
-0.653 3.911 6.648
6.457 7.357 10.198
6.713 0.167 3.058
-1.096 10.151 13.686
6.407 9.386 4.912
5.617 2.182 0.887
-0.311 4.108 10.203
3.143 9.270 3.182
-0.092 2.668 1.594
2.110 8.018 7.904
3.406 9.469 10.203
-1.435 5.767 13.686
8.951 4.991 11.753
-0.153 10.248 4.737
8.918 3.774 0.887
-2.792 9.879 3.182
5.712 1.641 6.669
4.925 10.242 11.928
6.717 9.124 8.611
6.155 7.881 13.665
-4.452 10.537 1.594
3.747 9.271 6.648
3.596 5.895 3.058
10.556 2.521 13.665
8.730 7.433 6.514
6.808 3.931 9.177
0.000 7.861 2.161
2.072 11.277 13.530
1.922 4.359 13.530
2.814 3.844 6.514
-3.994 7.948 13.530
0.000 7.861 11.179
6.808 3.931 4.163
8.880 0.515 6.514
0.000 0.000 10.128
0.000 0.000 3.111
```


Please write out number 8 again, unchanged.
DFT (PBE) results for a relaxed K5NaTi6Se27 crystal.

Properties
Total DFT energy (no corrections) (eV per formula unit): -182.42
Energy relative to the elements, uncorrected (eV/atom): -0.876
Total magnetic moment (μB per atom): 0.00
Space-group type: No. 159

```
K5NaTi6Se27
1.0
13.616 0.000 0.000
-6.808 11.792 0.000
0.000 0.000 14.033
Ti Se K Na
12 54 10 2
Cartesian
11.093 4.036 4.832
-2.233 4.203 11.849
4.575 7.589 4.832
11.140 3.927 8.450
-2.051 11.624 11.849
4.332 7.865 1.433
4.645 7.684 8.450
4.639 0.180 8.450
-2.163 4.108 1.433
4.757 0.168 4.832
4.284 7.756 11.849
-2.169 11.612 1.433
2.357 1.255 8.611
3.307 6.062 10.074
3.713 1.390 13.665
2.284 0.856 4.912
10.115 5.730 3.058
-1.191 9.610 7.904
4.818 5.256 11.753
-3.212 5.897 10.074
5.373 6.025 6.669
9.339 4.126 6.669
-0.351 4.435 3.182
-0.401 2.406 11.928
4.017 1.913 10.198
-0.095 11.625 10.074
-3.095 10.402 6.648
-4.524 10.936 11.928
11.733 1.550 4.912
-3.095 10.007 10.203
9.951 2.522 10.198
6.498 7.684 3.187
5.889 5.836 0.887
3.713 1.785 3.187
10.214 2.323 3.187
2.143 6.800 4.737
4.543 10.379 1.594
-1.990 6.536 4.737
11.351 1.413 8.611
2.531 7.666 13.686
6.655 1.544 11.753
-0.919 5.956 7.904
-0.653 3.911 6.648
6.457 7.357 10.198
6.713 0.167 3.058
-1.096 10.151 13.686
6.407 9.386 4.912
5.617 2.182 0.887
-0.311 4.108 10.203
3.143 9.270 3.182
-0.092 2.668 1.594
2.110 8.018 7.904
3.406 9.469 10.203
-1.435 5.767 13.686
8.951 4.991 11.753
-0.153 10.248 4.737
8.918 3.774 0.887
-2.792 9.879 3.182
5.712 1.641 6.669
4.925 10.242 11.928
6.717 9.124 8.611
6.155 7.881 13.665
-4.452 10.537 1.594
3.747 9.271 6.648
3.596 5.895 3.058
10.556 2.521 13.665
8.730 7.433 6.514
6.808 3.931 9.177
0.000 7.861 2.161
2.072 11.277 13.530
1.922 4.359 13.530
2.814 3.844 6.514
-3.994 7.948 13.530
0.000 7.861 11.179
6.808 3.931 4.163
8.880 0.515 6.514
0.000 0.000 10.128
0.000 0.000 3.111
```


Q: Look up the total DFT energy (no corrections) of the eleventh one.
A: -82.92 eV per formula unit